1.
# TbGeP2 (PBE, relaxed)
# Space-group type ... R-3m, No. 166
# Crystal system ... trigonal
# Energy ... -5.209 eV/atom
data_TbGeP2
_chemical_formula_sum 'Tb1 Ge1 P2'
_cell_length_a 4.292
_cell_length_b 4.292
_cell_length_c 7.538
_cell_angle_alpha 73.46
_cell_angle_beta 73.46
_cell_angle_gamma 60.00
_space_group_name_H-M_alt 'P 1'
_space_group_IT_number 1
loop_
_space_group_symop_operation_xyz
'x,y,z'
loop_
_atom_site_label
_atom_site_type_symbol
_atom_site_fract_x
_atom_site_fract_y
_atom_site_fract_z
_atom_site_occupancy
P1 P 0.897 0.897 0.308 1
P2 P 0.103 0.103 0.692 1
Tb1 Tb 0.500 0.500 0.500 1
Ge1 Ge 0.000 0.000 0.000 1

2.
# SmTmUO6 (PBE, relaxed)
# Space-group type ... P-31c, No. 163
# Crystal system ... trigonal
# ΔE_f (raw) ... -324.66 kJ per mole of atoms
data_SmTmUO6
_chemical_formula_sum 'Sm2 Tm2 U2 O12'
_cell_length_a 5.750
_cell_length_b 5.750
_cell_length_c 9.626
_cell_angle_alpha 90.00
_cell_angle_beta 90.00
_cell_angle_gamma 120.00
_space_group_name_H-M_alt 'P 1'
_space_group_IT_number 1
loop_
_space_group_symop_operation_xyz
'x,y,z'
loop_
_atom_site_label
_atom_site_type_symbol
_atom_site_fract_x
_atom_site_fract_y
_atom_site_fract_z
_atom_site_occupancy
O1 O 0.642 0.982 0.863 1
O2 O 0.982 0.340 0.137 1
O3 O 0.660 0.642 0.137 1
O4 O 0.340 0.358 0.863 1
O5 O 0.358 0.340 0.363 1
O6 O 0.982 0.642 0.363 1
O7 O 0.018 0.358 0.637 1
O8 O 0.018 0.660 0.863 1
O9 O 0.340 0.982 0.637 1
O10 O 0.660 0.018 0.363 1
O11 O 0.358 0.018 0.137 1
O12 O 0.642 0.660 0.637 1
Sm1 Sm 0.000 0.000 0.000 1
Sm2 Sm 0.000 0.000 0.500 1
U1 U 0.667 0.333 0.250 1
U2 U 0.333 0.667 0.750 1
Tm1 Tm 0.333 0.667 0.250 1
Tm2 Tm 0.667 0.333 0.750 1

3.
# Cs4AuF2 (PBE, relaxed)
# Space-group type ... P-42m, No. 111
# Crystal system ... tetragonal
# ΔE_f (raw) ... -146.06 kJ per mole of atoms
data_Cs4AuF2
_chemical_formula_sum 'Cs4 Au1 F2'
_cell_length_a 6.920
_cell_length_b 6.920
_cell_length_c 8.003
_cell_angle_alpha 90.00
_cell_angle_beta 90.00
_cell_angle_gamma 90.00
_space_group_name_H-M_alt 'P 1'
_space_group_IT_number 1
loop_
_space_group_symop_operation_xyz
'x,y,z'
loop_
_atom_site_label
_atom_site_type_symbol
_atom_site_fract_x
_atom_site_fract_y
_atom_site_fract_z
_atom_site_occupancy
Au1 Au 0.000 0.000 0.000 1
Cs1 Cs 0.255 0.255 0.307 1
Cs2 Cs 0.745 0.745 0.307 1
Cs3 Cs 0.745 0.255 0.693 1
Cs4 Cs 0.255 0.745 0.693 1
F1 F 0.500 0.000 0.500 1
F2 F 0.000 0.500 0.500 1

4.
# TcTePt (PBE, relaxed)
# Space-group type ... I4mm, No. 107
# Crystal system ... tetragonal
# ΔE_f (raw) ... 29.41 kJ per mole of atoms
data_TcTePt
_chemical_formula_sum 'Tc1 Te1 Pt1'
_cell_length_a 6.486
_cell_length_b 6.487
_cell_length_c 3.044
_cell_angle_alpha 76.43
_cell_angle_beta 76.43
_cell_angle_gamma 27.14
_space_group_name_H-M_alt 'P 1'
_space_group_IT_number 1
loop_
_space_group_symop_operation_xyz
'x,y,z'
loop_
_atom_site_label
_atom_site_type_symbol
_atom_site_fract_x
_atom_site_fract_y
_atom_site_fract_z
_atom_site_occupancy
Te1 Te 0.692 0.692 0.308 1
Tc1 Tc 0.334 0.334 0.666 1
Pt1 Pt 0.975 0.975 0.025 1

5.
# RbBaNa2Li (PBE, relaxed)
# Space-group type ... P4/mmm, No. 123
# Crystal system ... tetragonal
# Energy ... -1.312 eV/atom
data_RbBaNa2Li
_chemical_formula_sum 'Rb1 Ba1 Na2 Li1'
_cell_length_a 6.300
_cell_length_b 6.300
_cell_length_c 6.679
_cell_angle_alpha 90.00
_cell_angle_beta 90.00
_cell_angle_gamma 90.00
_space_group_name_H-M_alt 'P 1'
_space_group_IT_number 1
loop_
_space_group_symop_operation_xyz
'x,y,z'
loop_
_atom_site_label
_atom_site_type_symbol
_atom_site_fract_x
_atom_site_fract_y
_atom_site_fract_z
_atom_site_occupancy
Li1 Li 0.000 0.000 0.000 1
Ba1 Ba 0.000 0.000 0.500 1
Rb1 Rb 0.500 0.500 0.500 1
Na1 Na 0.000 0.500 0.000 1
Na2 Na 0.500 0.000 0.000 1

6.
# Sr5ErS6 (PBE, relaxed)
# Space-group type ... C2/m, No. 12
# Crystal system ... monoclinic
# ΔE_f (raw) ... -201.75 kJ per mole of atoms
data_Sr5ErS6
_chemical_formula_sum 'Sr5 Er1 S6'
_cell_length_a 7.274
_cell_length_b 7.279
_cell_length_c 7.274
_cell_angle_alpha 59.98
_cell_angle_beta 80.37
_cell_angle_gamma 70.47
_space_group_name_H-M_alt 'P 1'
_space_group_IT_number 1
loop_
_space_group_symop_operation_xyz
'x,y,z'
loop_
_atom_site_label
_atom_site_type_symbol
_atom_site_fract_x
_atom_site_fract_y
_atom_site_fract_z
_atom_site_occupancy
S1 S 0.761 0.766 0.000 1
S2 S 0.761 0.079 0.315 1
S3 S 0.761 0.395 0.685 1
S4 S 0.239 0.234 0.000 1
S5 S 0.239 0.921 0.685 1
S6 S 0.239 0.605 0.315 1
Sr1 Sr 0.500 0.831 0.339 1
Sr2 Sr 0.500 0.169 0.661 1
Sr3 Sr 0.000 0.666 0.668 1
Sr4 Sr 0.500 0.500 0.000 1
Sr5 Sr 0.000 0.334 0.332 1
Er1 Er 0.000 0.000 0.000 1

7.
# Ti3As (PBE, relaxed)
# Space-group type ... P4/mmm, No. 123
# Crystal system ... tetragonal
# Energy ... -7.554 eV/atom
data_Ti3As
_chemical_formula_sum 'Ti3 As1'
_cell_length_a 3.892
_cell_length_b 3.893
_cell_length_c 4.190
_cell_angle_alpha 90.00
_cell_angle_beta 90.00
_cell_angle_gamma 90.00
_space_group_name_H-M_alt 'P 1'
_space_group_IT_number 1
loop_
_space_group_symop_operation_xyz
'x,y,z'
loop_
_atom_site_label
_atom_site_type_symbol
_atom_site_fract_x
_atom_site_fract_y
_atom_site_fract_z
_atom_site_occupancy
As1 As 0.000 0.000 0.083 1
Ti1 Ti 0.500 0.500 0.083 1
Ti2 Ti 0.500 0.000 0.583 1
Ti3 Ti 0.000 0.500 0.583 1

8.
# NbZnC2 (PBE, relaxed)
# Space-group type ... I-42d, No. 122
# Crystal system ... tetragonal
# Energy ... -6.706 eV/atom
data_NbZnC2
_chemical_formula_sum 'Nb2 Zn2 C4'
_cell_length_a 4.949
_cell_length_b 4.949
_cell_length_c 5.733
_cell_angle_alpha 64.43
_cell_angle_beta 64.43
_cell_angle_gamma 90.00
_space_group_name_H-M_alt 'P 1'
_space_group_IT_number 1
loop_
_space_group_symop_operation_xyz
'x,y,z'
loop_
_atom_site_label
_atom_site_type_symbol
_atom_site_fract_x
_atom_site_fract_y
_atom_site_fract_z
_atom_site_occupancy
C1 C 0.635 0.125 0.250 1
C2 C 0.375 0.365 0.750 1
C3 C 0.115 0.625 0.250 1
C4 C 0.875 0.885 0.750 1
Nb1 Nb 0.750 0.250 0.500 1
Nb2 Nb 0.000 0.000 0.000 1
Zn1 Zn 0.500 0.500 0.000 1
Zn2 Zn 0.250 0.750 0.500 1

9.
# YSn (PBE, relaxed)
# Space-group type ... Pm-3n, No. 223
# Crystal system ... cubic
# Energy ... -4.956 eV/atom
data_YSn
_chemical_formula_sum 'Y6 Sn6'
_cell_length_a 8.538
_cell_length_b 8.538
_cell_length_c 8.538
_cell_angle_alpha 90.00
_cell_angle_beta 90.00
_cell_angle_gamma 90.00
_space_group_name_H-M_alt 'P 1'
_space_group_IT_number 1
loop_
_space_group_symop_operation_xyz
'x,y,z'
loop_
_atom_site_label
_atom_site_type_symbol
_atom_site_fract_x
_atom_site_fract_y
_atom_site_fract_z
_atom_site_occupancy
Sn1 Sn 0.000 0.500 0.250 1
Sn2 Sn 0.000 0.500 0.750 1
Sn3 Sn 0.500 0.750 0.000 1
Sn4 Sn 0.500 0.250 0.000 1
Sn5 Sn 0.750 0.000 0.500 1
Sn6 Sn 0.250 0.000 0.500 1
Y1 Y 0.500 0.000 0.750 1
Y2 Y 0.000 0.750 0.500 1
Y3 Y 0.750 0.500 0.000 1
Y4 Y 0.500 0.000 0.250 1
Y5 Y 0.000 0.250 0.500 1
Y6 Y 0.250 0.500 0.000 1

10.
# Hg2PdSO (PBE, relaxed)
# Space-group type ... P4/mmm, No. 123
# Crystal system ... tetragonal
# ΔE_f (raw) ... 58.98 kJ per mole of atoms
data_Hg2PdSO
_chemical_formula_sum 'Hg2 Pd1 S1 O1'
_cell_length_a 5.319
_cell_length_b 4.376
_cell_length_c 5.319
_cell_angle_alpha 90.00
_cell_angle_beta 90.00
_cell_angle_gamma 90.00
_space_group_name_H-M_alt 'P 1'
_space_group_IT_number 1
loop_
_space_group_symop_operation_xyz
'x,y,z'
loop_
_atom_site_label
_atom_site_type_symbol
_atom_site_fract_x
_atom_site_fract_y
_atom_site_fract_z
_atom_site_occupancy
Hg1 Hg 0.500 0.000 0.000 1
Hg2 Hg 0.000 0.000 0.500 1
O1 O 0.500 0.500 0.500 1
Pd1 Pd 0.000 0.000 0.000 1
S1 S 0.000 0.500 0.000 1

11.
# Ce2SmSe2N2 (PBE, relaxed)
# Space-group type ... C2/m, No. 12
# Crystal system ... monoclinic
# ΔE_f (raw) ... -166.44 kJ per mole of atoms
data_Ce2SmSe2N2
_chemical_formula_sum 'Ce2 Sm1 Se2 N2'
_cell_length_a 3.982
_cell_length_b 6.816
_cell_length_c 6.931
_cell_angle_alpha 62.03
_cell_angle_beta 73.31
_cell_angle_gamma 73.02
_space_group_name_H-M_alt 'P 1'
_space_group_IT_number 1
loop_
_space_group_symop_operation_xyz
'x,y,z'
loop_
_atom_site_label
_atom_site_type_symbol
_atom_site_fract_x
_atom_site_fract_y
_atom_site_fract_z
_atom_site_occupancy
Sm1 Sm 0.000 0.000 0.000 1
Se1 Se 0.580 0.189 0.650 1
Se2 Se 0.420 0.811 0.350 1
Ce1 Ce 0.793 0.654 0.760 1
Ce2 Ce 0.207 0.346 0.240 1
N1 N 0.800 0.327 0.073 1
N2 N 0.200 0.673 0.927 1

12.
# NiIrRu2 (PBE, relaxed)
# Space-group type ... R3m, No. 160
# Crystal system ... trigonal
# Energy ... -8.184 eV/atom
data_NiIrRu2
_chemical_formula_sum 'Ni1 Ir1 Ru2'
_cell_length_a 8.746
_cell_length_b 8.746
_cell_length_c 8.746
_cell_angle_alpha 17.75
_cell_angle_beta 17.75
_cell_angle_gamma 17.75
_space_group_name_H-M_alt 'P 1'
_space_group_IT_number 1
loop_
_space_group_symop_operation_xyz
'x,y,z'
loop_
_atom_site_label
_atom_site_type_symbol
_atom_site_fract_x
_atom_site_fract_y
_atom_site_fract_z
_atom_site_occupancy
Ru1 Ru 0.251 0.251 0.251 1
Ru2 Ru 0.001 0.001 0.001 1
Ir1 Ir 0.498 0.498 0.498 1
Ni1 Ni 0.749 0.749 0.749 1

Summary of DOS at the Fermi energy in states/eV/f.u.
2.53; 0.00; 4.37; 2.36; 4.53; 2.29; 4.87; 2.52; 3.03; 4.87; 8.87; 6.27
(order as listed above)